Here is a geometry-optimized LiNbSiOs structure from Alexandria. Energies are from PBE.

The structure in POSCAR format:
```
LiNbSiOs
1.0
0.000 3.041 3.041
3.041 0.000 3.041
3.041 3.041 0.000
Li Nb Si Os
1 1 1 1
direct
0.000 0.000 0.000 Li
0.250 0.250 0.250 Nb
0.750 0.750 0.750 Si
0.500 0.500 0.500 Os
```

## Properties
Size of the total moment: 0.00 μB per formula unit
Raw formation energy: -473 meV/atom
Space group: F-43m (216)

Here is a geometry-optimized NaSCl structure from Alexandria. Energies are from PBE.

The structure in POSCAR format:
```
NaSCl
1.0
6.930 0.000 0.000
0.000 3.745 0.000
-2.257 0.000 7.913
Na S Cl
2 2 2
direct
0.000 0.000 0.000 Na
0.022 0.000 0.548 Na
0.414 0.000 0.381 S
0.452 0.500 0.510 S
0.049 0.500 0.786 Cl
0.832 0.000 0.237 Cl
```

## Properties
Size of the total moment: 0.00 μB per formula unit
Raw formation energy: -893 meV/atom
Distance to the lowest polymorph of the same formula: 104 meV per atom
Space group: Pm (6)

Here is a geometry-optimized Cs2GaBiTe structure from Alexandria. Energies are from PBE.

The structure in POSCAR format:
```
Cs2GaBiTe
1.0
7.418 0.000 0.000
0.000 7.418 0.000
0.000 0.000 6.004
Cs Ga Bi Te
2 1 1 1
direct
0.000 0.500 0.000 Cs
0.500 0.000 0.000 Cs
0.000 0.000 0.500 Ga
0.500 0.500 0.000 Bi
0.500 0.500 0.500 Te
```

## Properties
Size of the total moment: 1.18 μB per formula unit
Raw formation energy: 165 meV/atom
Space group: P4/mmm (123)

Here is a geometry-optimized Tb2PmGd structure from Alexandria. Energies are from PBE.

The structure in POSCAR format:
```
Tb2PmGd
1.0
1.794 1.036 11.706
-1.794 1.036 11.706
0.000 -2.072 11.706
Tb Pm Gd
2 1 1
direct
0.250 0.250 0.250 Tb
0.750 0.750 0.750 Tb
0.500 0.500 0.500 Pm
0.000 0.000 0.000 Gd
```

## Properties
Size of the total moment: 7.29 μB per formula unit
Distance to the lowest polymorph of the same formula: 4 meV per atom
Space group: R-3m (166)
ΔH_f (0 K): 0.018 eV per atom

Here is a geometry-optimized TlCu2Br2Cl structure from Alexandria. Energies are from PBE.

The structure in POSCAR format:
```
TlCu2Br2Cl
1.0
8.197 0.000 0.000
0.000 5.143 0.000
-2.280 0.000 7.876
Tl Cu Br Cl
2 4 4 2
direct
0.219 0.250 0.280 Tl
0.781 0.750 0.720 Tl
0.326 0.000 0.825 Cu
0.326 0.500 0.825 Cu
0.674 0.000 0.175 Cu
0.674 0.500 0.175 Cu
0.079 0.250 0.840 Br
0.342 0.750 0.579 Br
0.658 0.250 0.421 Br
0.921 0.750 0.160 Br
0.403 0.750 0.097 Cl
0.597 0.250 0.903 Cl
```

## Properties
Size of the total moment: 0.00 μB per formula unit
Raw formation energy: -501 meV/atom
Space group: P2_1/m (11)

Here is a geometry-optimized Rb4NpPa3O12 structure from Alexandria. Energies are from PBE.

The structure in POSCAR format:
```
Rb4NpPa3O12
1.0
-4.391 4.391 4.391
4.391 -4.391 4.391
4.391 4.391 -4.391
Rb Np Pa O
4 1 3 12
direct
0.000 0.000 0.500 Rb
0.000 0.500 0.000 Rb
0.500 0.000 0.000 Rb
0.500 0.500 0.500 Rb
0.000 0.000 0.000 Np
0.000 0.500 0.500 Pa
0.500 0.000 0.500 Pa
0.500 0.500 0.000 Pa
0.000 0.248 0.248 O
0.000 0.752 0.752 O
0.248 0.000 0.248 O
0.248 0.248 0.000 O
0.250 0.500 0.750 O
0.250 0.750 0.500 O
0.500 0.250 0.750 O
0.500 0.750 0.250 O
0.750 0.250 0.500 O
0.750 0.500 0.250 O
0.752 0.000 0.752 O
0.752 0.752 0.000 O
```

## Properties
Size of the total moment: 2.00 μB per formula unit
Raw formation energy: -2995 meV/atom
Space group: Im-3m (229)

Q: Among the records above, which one has the highest size of the total moment?
A: Tb2PmGd